Density functional theory data (PBE) for crystalline ZrRu2 at its relaxed geometry.

Unit cell a=3.637 b=3.637 c=4.292 alpha=90.00 beta=90.00 gamma=90.00
Space group P4/mmm (No. 123)
Unique sites:
Zr  0.000  0.000  0.000 [1 per cell]
Ru  0.000  0.500  0.500 [2 per cell]

Results
The density comes out at 8.58 g/cm3. The value obtained for the total magnetization is 0.000 μB per formula unit. For the formation energy, the calculation gives 0.2811 eV/atom.